# SrAl3P2O14

A geometry-optimized SrAl3P2O14 structure (PBE-GGA, the Alexandria database).

Calculated values
* ΔE_f (raw): -1.880 eV per atom
* total magnetic moment: 0.35 μB per atom
* SG: R-3m, No. 166

```
SrAl3P2O14
1.0
6.1335 -3.5042 0.0272
6.1335 3.5042 0.0272
4.1061 0.0000 5.7480
Sr Al P O
1 3 2 14
Direct
0.0000 0.0000 0.0000
0.5000 0.0000 0.0000
0.0000 0.0000 0.5000
0.0000 0.5000 0.0000
0.6927 0.6927 0.6927
0.3073 0.3073 0.3073
0.6043 0.6043 0.6043
0.3957 0.3957 0.3957
0.4841 0.8442 0.8442
0.8442 0.8442 0.4841
0.8442 0.4841 0.8442
0.5159 0.1558 0.1558
0.1558 0.1558 0.5159
0.1558 0.5159 0.1558
0.0878 0.7485 0.7485
0.7485 0.7485 0.0878
0.7485 0.0878 0.7485
0.9122 0.2515 0.2515
0.2515 0.2515 0.9122
0.2515 0.9122 0.2515
```